Computed, not measured: crystalline BaAc2S4 at its relaxed geometry at the GGA-PBE level of DFT.

Summary:
E_form (uncorrected) in eV/atom: -2.13
Energy relative to the lowest polymorph listed for this composition in meV/atom: 29
Space-group type: Cmcm, No. 63

abc: 4.339 7.536 14.284
angles: 90.00 90.00 106.73
Fractional positions:
S  0.768  0.536  0.385
S  0.768  0.536  0.115
S  0.232  0.464  0.885
S  0.500  0.000  0.500
S  0.232  0.464  0.615
S  0.039  0.077  0.250
S  0.961  0.923  0.750
S  0.500  0.000  0.000
Ac  0.867  0.734  0.929
Ac  0.133  0.266  0.071
Ac  0.133  0.266  0.429
Ac  0.867  0.734  0.571
Ba  0.613  0.227  0.750
Ba  0.387  0.773  0.250